First-principles (PBE) data for a geometry-optimized Li2Mg2CdIn2 structure, as listed in the Alexandria database.

The structure belongs to space group C2/m (No. 12); the cell edges are 10.4034, 4.1194 and 7.1039 Å and the angles 90.00°, 97.00° and 90.00°. The distinct sites, in fractional coordinates, are Li at (0.2082, 0.0000, 0.1380), Mg at (0.0755, 0.0000, 0.7175), Cd at (0.0000, 0.5000, 0.0000) and In at (0.1456, 0.5000, 0.4172).

The value obtained for the density of states at the Fermi level is 0.361 states/eV/atom. The total energy is -0.151 Ry/atom. The calculation puts the calculated density at 4.45 g cm⁻³. The formation enthalpy at 0 K comes out at -0.99 eV/f.u. As for the total magnetic moment: 0.000 μB per atom.



First-principles (PBE) data for a geometry-optimized LiMg3CdIn structure, as listed in the Alexandria database.

The structure belongs to space group P2_1/m (No. 11); the cell edges are 8.2794, 3.6677 and 9.2618 Å and the angles 90.00°, 111.51° and 90.00°. The distinct sites, in fractional coordinates, are Li at (0.1185, 0.2500, 0.1221), Mg at (0.1302, 0.2500, 0.4562), Mg at (0.3653, 0.7500, 0.0394), Mg at (0.3831, 0.7500, 0.7051), Cd at (0.3649, 0.7500, 0.3674) and In at (0.1189, 0.2500, 0.7916).

The value obtained for the density of states at the Fermi level is 0.264 states/eV/atom. The total energy is -0.135 Ry/atom. The calculation puts the calculated density at 3.90 g cm⁻³. The formation enthalpy at 0 K comes out at -0.65 eV/f.u. As for the total magnetic moment: 0.000 μB per atom.



Which value of formation enthalpy at 0 K does entry 1 give? -0.99 eV/f.u.



Repeat the first record exactly.
First-principles (PBE) data for a geometry-optimized Li2Mg2CdIn2 structure, as listed in the Alexandria database.

The structure belongs to space group C2/m (No. 12); the cell edges are 10.4034, 4.1194 and 7.1039 Å and the angles 90.00°, 97.00° and 90.00°. The distinct sites, in fractional coordinates, are Li at (0.2082, 0.0000, 0.1380), Mg at (0.0755, 0.0000, 0.7175), Cd at (0.0000, 0.5000, 0.0000) and In at (0.1456, 0.5000, 0.4172).

The value obtained for the density of states at the Fermi level is 0.361 states/eV/atom. The total energy is -0.151 Ry/atom. The calculation puts the calculated density at 4.45 g cm⁻³. The formation enthalpy at 0 K comes out at -0.99 eV/f.u. As for the total magnetic moment: 0.000 μB per atom.